No. 1
# LiCr2Rh

Crystalline LiCr2Rh at its relaxed geometry (PBE, Alexandria).

a = 2.565 Å, b = 2.565 Å, c = 8.162 Å
α = 90.00°, β = 90.00°, γ = 90.00°
Sites, in units of the cell vectors:
Li: 0.000 0.000 0.000
Cr: 0.500 0.500 0.269
Cr: 0.500 0.500 0.731
Rh: 0.000 0.000 0.500

Computed properties:
Energy of formation from the pure elements: 0.407 eV/atom
V: 53.70 Å³ per cell
Total energy: -6.7208 eV per atom
Calculated density: 6613 kg/m3

---

No. 2
# LiCr4Rh

Crystalline LiCr4Rh at its relaxed geometry (PBE, Alexandria).

a = 4.735 Å, b = 4.735 Å, c = 4.735 Å
α = 60.00°, β = 60.00°, γ = 60.00°
Sites, in units of the cell vectors:
Li: 0.000 0.000 0.000
Cr: 0.373 0.373 0.373
Cr: 0.373 0.373 0.881
Cr: 0.373 0.881 0.373
Cr: 0.881 0.373 0.373
Rh: 0.750 0.750 0.750

Computed properties:
Energy of formation from the pure elements: 0.221 eV/atom
V: 75.04 Å³ per cell
Total energy: -7.7392 eV per atom
Calculated density: 7033 kg/m3

---

No. 3
# LiCrRh

Crystalline LiCrRh at its relaxed geometry (PBE, Alexandria).

a = 4.033 Å, b = 4.033 Å, c = 4.033 Å
α = 60.00°, β = 60.00°, γ = 60.00°
Sites, in units of the cell vectors:
Li: 0.000 0.000 0.000
Cr: 0.500 0.500 0.500
Rh: 0.250 0.250 0.250

Computed properties:
Energy of formation from the pure elements: 0.427 eV/atom
V: 46.39 Å³ per cell
Total energy: -5.8697 eV per atom
Calculated density: 5793 kg/m3

---

No. 4
# LiCrRh2

Crystalline LiCrRh2 at its relaxed geometry (PBE, Alexandria).

a = 9.046 Å, b = 9.046 Å, c = 9.046 Å
α = 16.97°, β = 16.97°, γ = 16.97°
Sites, in units of the cell vectors:
Li: 0.000 0.000 0.000
Cr: 0.757 0.757 0.757
Rh: 0.252 0.252 0.252
Rh: 0.497 0.497 0.497

Computed properties:
Energy of formation from the pure elements: 0.127 eV/atom
V: 54.99 Å³ per cell
Total energy: -6.4334 eV per atom
Calculated density: 7994 kg/m3

---

No. 5
# Li2CrRh

Crystalline Li2CrRh at its relaxed geometry (PBE, Alexandria).

a = 2.615 Å, b = 2.615 Å, c = 9.141 Å
α = 90.00°, β = 90.00°, γ = 115.05°
Sites, in units of the cell vectors:
Li: 0.000 0.000 0.000
Li: 0.500 0.500 0.285
Cr: 0.500 0.500 0.749
Rh: 0.000 0.000 0.524

Computed properties:
Energy of formation from the pure elements: 0.177 eV/atom
V: 56.63 Å³ per cell
Total energy: -5.0231 eV per atom
Calculated density: 4949 kg/m3

---

No. 6
# LiCrRh2

Crystalline LiCrRh2 at its relaxed geometry (PBE, Alexandria).

a = 8.611 Å, b = 8.611 Å, c = 8.611 Å
α = 18.15°, β = 18.15°, γ = 18.15°
Sites, in units of the cell vectors:
Li: 0.000 0.000 0.000
Cr: 0.500 0.500 0.500
Rh: 0.245 0.245 0.245
Rh: 0.755 0.755 0.755

Computed properties:
Energy of formation from the pure elements: -0.079 eV/atom
V: 54.08 Å³ per cell
Total energy: -6.6390 eV per atom
Calculated density: 8128 kg/m3

---

No. 7
# LiCrRh2

Crystalline LiCrRh2 at its relaxed geometry (PBE, Alexandria).

a = 4.940 Å, b = 4.940 Å, c = 4.504 Å
α = 112.56°, β = 112.56°, γ = 32.38°
Sites, in units of the cell vectors:
Li: 0.000 0.000 0.000
Cr: 0.763 0.763 0.417
Rh: 0.250 0.250 0.913
Rh: 0.507 0.507 0.497

Computed properties:
Energy of formation from the pure elements: -0.055 eV/atom
V: 53.96 Å³ per cell
Total energy: -6.6149 eV per atom
Calculated density: 8147 kg/m3

---

No. 8
# LiCrRh2

Crystalline LiCrRh2 at its relaxed geometry (PBE, Alexandria).

a = 4.194 Å, b = 4.194 Å, c = 2.931 Å
α = 90.00°, β = 90.00°, γ = 90.00°
Sites, in units of the cell vectors:
Li: 0.000 0.000 0.000
Cr: 0.500 0.500 0.000
Rh: 0.000 0.500 0.500
Rh: 0.500 0.000 0.500

Computed properties:
Energy of formation from the pure elements: -0.094 eV/atom
V: 51.57 Å³ per cell
Total energy: -6.6538 eV per atom
Calculated density: 8525 kg/m3